Below is a relaxed structure of ScAlTc2, with properties calculated at the PBE-GGA level.

Computed properties:
Uncorrected energy = -31.7 eV/f.u.
SG = F-43m (216)

Cell lengths 4.4657, 4.4657, 4.4657 Å; angles 60.00, 60.00, 60.00 degrees
Fractional positions:
Al1 0.5000 0.5000 0.5000
Sc1 0.2500 0.2500 0.2500
Tc1 0.7500 0.7500 0.7500
Tc2 0.0000 0.0000 0.0000

Below is a relaxed structure of DyLu2Ga, with properties calculated at the PBE-GGA level.

Computed properties:
Distance to the lowest polymorph of the same formula = 0.000 eV/atom
Uncorrected energy = -17.7 eV/f.u.
SG = Ama2 (40)

Cell lengths 4.7958, 6.6675, 6.6675 Å; angles 102.25, 90.00, 90.00 degrees
Site moments in Bohr magnetons follow the coordinates.
Fractional positions:
Ga1 0.7500 0.0680 0.4261  0.00
Lu1 0.2500 0.9350 0.1570  0.04
Lu2 0.7500 0.6337 0.8710  0.06
Lu3 0.7500 0.1570 0.9350  0.04
Ga2 0.2500 0.4261 0.0680  0.01
Lu4 0.2500 0.8710 0.6337  0.05
Dy1 0.2500 0.3413 0.5680  0.04
Dy2 0.7500 0.5680 0.3413  0.05

Below is a relaxed structure of HfCo2Ge, with properties calculated at the PBE-GGA level.

Computed properties:
Uncorrected energy = -29.0 eV/f.u.
SG = F-43m (216)

Cell lengths 4.3021, 4.3021, 4.3021 Å; angles 60.00, 60.00, 60.00 degrees
Site moments in Bohr magnetons follow the coordinates.
Fractional positions:
Ge1 0.5000 0.5000 0.5000  -0.01
Co1 0.0000 0.0000 0.0000  0.02
Co2 0.7500 0.7500 0.7500  1.13
Hf1 0.2500 0.2500 0.2500  0.01

Below is a relaxed structure of Ba2IrPd, with properties calculated at the PBE-GGA level.

Computed properties:
Uncorrected energy = -17.1 eV/f.u.
SG = F-43m (216)

Cell lengths 5.2671, 5.2671, 5.2671 Å; angles 60.00, 60.00, 60.00 degrees
Site moments in Bohr magnetons follow the coordinates.
Fractional positions:
Ir1 0.2500 0.2500 0.2500  0.11
Pd1 0.5000 0.5000 0.5000  0.02
Ba1 0.7500 0.7500 0.7500  0.01
Ba2 0.0000 0.0000 0.0000  0.01

What did the first record say?
Below is a relaxed structure of ScAlTc2, with properties calculated at the PBE-GGA level.

Computed properties:
Uncorrected energy = -31.7 eV/f.u.
SG = F-43m (216)

Cell lengths 4.4657, 4.4657, 4.4657 Å; angles 60.00, 60.00, 60.00 degrees
Fractional positions:
Al1 0.5000 0.5000 0.5000
Sc1 0.2500 0.2500 0.2500
Tc1 0.7500 0.7500 0.7500
Tc2 0.0000 0.0000 0.0000

Which of these has the highest uncorrected energy? Ba2IrPd

Which value of uncorrected energy does entry 3 give? -29.0 eV/f.u.